Computed, not measured: a relaxed structure of Li4Bi2Pd3 at the PBE level of DFT.

```
Li4Bi2Pd3
1.0
4.871 -2.255 0.000
4.871 2.255 0.000
-4.492 0.000 7.213
Li Bi Pd
4 2 3
Direct
0.029 0.029 0.346 Li
0.345 0.345 0.143 Li
0.655 0.655 0.857 Li
0.971 0.971 0.654 Li
0.313 0.313 0.776 Bi
0.687 0.687 0.224 Bi
0.000 0.000 0.000 Pd
0.346 0.346 0.473 Pd
0.654 0.654 0.527 Pd
```

Values from the calculation:
* crystal system: monoclinic
* E: -0.1427 hartree per atom
* N(E_F): 3.89 states/eV/f.u.
* E_form: -0.44 eV per atom
* calculated volume: 158.5 Å³/cell
* space-group type: C2/m, No. 12

Computed, not measured: a relaxed structure of PmSm4Ni2 at the PBE level of DFT.

```
PmSm4Ni2
1.0
7.502 0.000 0.000
0.000 6.626 0.000
-3.171 0.000 7.515
Pm Sm Ni
2 8 4
Direct
0.141 0.250 0.026 Pm
0.859 0.750 0.974 Pm
0.026 0.250 0.384 Sm
0.254 0.750 0.353 Sm
0.408 0.008 0.768 Sm
0.408 0.492 0.768 Sm
0.592 0.508 0.232 Sm
0.592 0.992 0.232 Sm
0.746 0.250 0.647 Sm
0.974 0.750 0.616 Sm
0.263 0.750 0.998 Ni
0.380 0.250 0.400 Ni
0.620 0.750 0.600 Ni
0.737 0.250 0.002 Ni
```

Values from the calculation:
* crystal system: monoclinic
* E: -0.1883 hartree per atom
* N(E_F): 8.84 states/eV/f.u.
* E_form: -0.10 eV per atom
* calculated volume: 373.6 Å³/cell
* space-group type: P2_1/m, No. 11

Computed, not measured: a relaxed structure of MgAlSn2 at the PBE level of DFT.

```
MgAlSn2
1.0
2.247 1.297 5.824
-2.247 1.297 5.824
0.000 -2.594 5.824
Mg Al Sn
1 1 2
Direct
0.000 0.000 0.000 Mg
0.172 0.172 0.172 Al
0.581 0.581 0.581 Sn
0.757 0.757 0.757 Sn
```

Values from the calculation:
* crystal system: trigonal
* E: -0.1206 hartree per atom
* N(E_F): 1.72 states/eV/f.u.
* E_form: 0.05 eV per atom
* calculated volume: 101.8 Å³/cell
* space-group type: R3m, No. 160

Computed, not measured: a relaxed structure of AcLaGdGa at the PBE level of DFT.

```
AcLaGdGa
1.0
0.000 3.975 3.975
3.975 0.000 3.975
3.975 3.975 0.000
Ac La Gd Ga
1 1 1 1
Direct
0.000 0.000 0.000 Ac
0.250 0.250 0.250 La
0.750 0.750 0.750 Gd
0.500 0.500 0.500 Ga
```

Values from the calculation:
* crystal system: cubic
* E: -0.2407 hartree per atom
* N(E_F): 6.07 states/eV/f.u.
* E_form: -0.01 eV per atom
* calculated volume: 125.7 Å³/cell
* space-group type: F-43m, No. 216

Computed, not measured: a relaxed structure of Sm12Sb6Pd at the PBE level of DFT.

```
Sm12Sb6Pd
1.0
6.712 3.875 4.103
-6.712 3.875 4.103
0.000 -7.750 4.103
Sm Sb Pd
12 6 1
Direct
0.022 0.681 0.943 Sm
0.057 0.978 0.319 Sm
0.193 0.416 0.553 Sm
0.319 0.057 0.978 Sm
0.416 0.553 0.193 Sm
0.447 0.807 0.584 Sm
0.553 0.193 0.416 Sm
0.584 0.447 0.807 Sm
0.681 0.943 0.022 Sm
0.807 0.584 0.447 Sm
0.943 0.022 0.681 Sm
0.978 0.319 0.057 Sm
0.123 0.638 0.315 Sb
0.315 0.123 0.638 Sb
0.362 0.685 0.877 Sb
0.638 0.315 0.123 Sb
0.685 0.877 0.362 Sb
0.877 0.362 0.685 Sb
0.000 0.000 0.000 Pd
```

Values from the calculation:
* crystal system: trigonal
* energy relative to the elements, uncorrected: -0.68 eV/atom
* E: -0.1922 hartree per atom
* N(E_F): 15.05 states/eV/f.u.
* calculated volume: 640.4 Å³/cell
* space-group type: R-3, No. 148

Computed, not measured: a relaxed structure of TaTlO3 at the PBE level of DFT.

```
TaTlO3
1.0
8.678 0.000 0.000
0.000 5.207 0.000
-1.758 0.000 7.150
Ta Tl O
4 4 12
Direct
0.091 0.240 0.435 Ta
0.091 0.260 0.935 Ta
0.909 0.740 0.065 Ta
0.909 0.760 0.565 Ta
0.375 0.729 0.818 Tl
0.375 0.771 0.318 Tl
0.625 0.229 0.682 Tl
0.625 0.271 0.182 Tl
0.050 0.078 0.174 O
0.050 0.422 0.674 O
0.146 0.572 0.064 O
0.146 0.928 0.564 O
0.289 0.130 0.954 O
0.289 0.370 0.454 O
0.711 0.630 0.546 O
0.711 0.870 0.046 O
0.854 0.072 0.436 O
0.854 0.428 0.936 O
0.950 0.578 0.326 O
0.950 0.922 0.826 O
```

Values from the calculation:
* crystal system: monoclinic
* energy relative to the elements, uncorrected: -2.21 eV/atom
* E: -0.2952 hartree per atom
* N(E_F): 0.00 states/eV/f.u.
* calculated volume: 323.0 Å³/cell
* space-group type: P2_1/c, No. 14

Computed, not measured: a relaxed structure of Mg2ZnP2Pd5 at the PBE level of DFT.

```
Mg2ZnP2Pd5
1.0
9.434 0.000 0.000
0.000 9.434 0.000
0.000 0.000 3.533
Mg Zn P Pd
4 2 4 10
Direct
0.170 0.330 0.000 Mg
0.330 0.830 0.000 Mg
0.670 0.170 0.000 Mg
0.830 0.670 0.000 Mg
0.000 0.000 0.000 Zn
0.500 0.500 0.000 Zn
0.131 0.631 0.000 P
0.369 0.131 0.000 P
0.631 0.869 0.000 P
0.869 0.369 0.000 P
0.000 0.500 0.500 Pd
0.073 0.796 0.500 Pd
0.204 0.073 0.500 Pd
0.296 0.573 0.500 Pd
0.427 0.296 0.500 Pd
0.500 0.000 0.500 Pd
0.573 0.704 0.500 Pd
0.704 0.427 0.500 Pd
0.796 0.927 0.500 Pd
0.927 0.204 0.500 Pd
```

Values from the calculation:
* crystal system: tetragonal
* E: -0.1711 hartree per atom
* N(E_F): 3.57 states/eV/f.u.
* E_form: -0.53 eV per atom
* calculated volume: 314.4 Å³/cell
* space-group type: P4/mbm, No. 127

Computed, not measured: a relaxed structure of Cs2CuO2 at the PBE level of DFT.

```
Cs2CuO2
1.0
-2.213 2.213 6.907
2.213 -2.213 6.907
2.213 2.213 -6.907
Cs Cu O
2 1 2
Direct
0.152 0.152 0.000 Cs
0.848 0.848 0.000 Cs
0.500 0.500 0.000 Cu
0.374 0.374 0.000 O
0.626 0.626 0.000 O
```

Values from the calculation:
* crystal system: tetragonal
* energy relative to the elements, uncorrected: -1.01 eV/atom
* E: -0.1528 hartree per atom
* N(E_F): 4.73 states/eV/f.u.
* calculated volume: 135.3 Å³/cell
* space-group type: I4/mmm, No. 139

Computed, not measured: a relaxed structure of NiSnAu14 at the PBE level of DFT.

```
NiSnAu14
1.0
9.654 0.000 0.000
0.000 2.891 5.174
0.000 -2.891 5.174
Ni Sn Au
1 1 14
Direct
0.000 0.000 0.000 Ni
0.000 0.500 0.500 Sn
0.000 0.500 0.996 Au
0.000 0.996 0.500 Au
0.244 0.162 0.162 Au
0.245 0.163 0.669 Au
0.245 0.669 0.163 Au
0.255 0.667 0.667 Au
0.500 0.328 0.831 Au
0.500 0.330 0.330 Au
0.500 0.831 0.328 Au
0.500 0.832 0.832 Au
0.745 0.667 0.667 Au
0.755 0.163 0.669 Au
0.755 0.669 0.163 Au
0.756 0.162 0.162 Au
```

Values from the calculation:
* crystal system: orthorhombic
* E: -0.1273 hartree per atom
* N(E_F): 5.69 states/eV/f.u.
* E_form: 0.02 eV per atom
* calculated volume: 288.8 Å³/cell
* space-group type: Amm2, No. 38

Computed, not measured: a relaxed structure of TlHIr2Pt at the PBE level of DFT.

```
TlHIr2Pt
1.0
5.076 0.000 0.000
0.000 5.076 0.000
0.000 0.000 3.200
Tl H Ir Pt
1 1 2 1
Direct
0.000 0.000 0.000 Tl
0.500 0.500 0.000 H
0.000 0.500 0.500 Ir
0.500 0.000 0.500 Ir
0.500 0.500 0.500 Pt
```

Values from the calculation:
* crystal system: tetragonal
* E: -0.1838 hartree per atom
* N(E_F): 6.49 states/eV/f.u.
* calculated volume: 82.4 Å³/cell
* space-group type: P4/mmm, No. 123

Computed, not measured: a relaxed structure of LiTmCd6 at the PBE level of DFT.

```
LiTmCd6
1.0
4.650 0.000 0.000
0.000 4.790 4.082
0.000 -4.790 4.082
Li Tm Cd
1 1 6
Direct
0.000 0.000 0.000 Li
0.500 0.697 0.697 Tm
0.000 0.435 0.435 Cd
0.000 0.499 0.947 Cd
0.000 0.947 0.499 Cd
0.500 0.199 0.736 Cd
0.500 0.220 0.220 Cd
0.500 0.736 0.199 Cd
```

Values from the calculation:
* crystal system: orthorhombic
* energy relative to the lowest polymorph listed for this composition: 0.065 eV/atom
* E: -0.0592 hartree per atom
* N(E_F): 4.22 states/eV/f.u.
* E_form: -0.13 eV per atom
* calculated volume: 181.9 Å³/cell
* space-group type: Amm2, No. 38

Computed, not measured: a relaxed structure of AsRuC3 at the PBE level of DFT.

```
AsRuC3
1.0
3.848 0.000 0.000
0.000 3.848 0.000
0.000 0.000 3.848
As Ru C
1 1 3
Direct
0.000 0.000 0.000 As
0.500 0.500 0.500 Ru
0.000 0.000 0.500 C
0.000 0.500 0.000 C
0.500 0.000 0.000 C
```

Values from the calculation:
* crystal system: cubic
* energy relative to the lowest polymorph listed for this composition: 0.561 eV/atom
* E: -0.2029 hartree per atom
* N(E_F): 5.91 states/eV/f.u.
* E_form: 2.80 eV per atom
* calculated volume: 57.0 Å³/cell
* space-group type: Pm-3m, No. 221

Computed, not measured: a relaxed structure of LiSc2B10 at the PBE level of DFT.

```
LiSc2B10
1.0
6.475 0.000 0.000
0.000 9.938 0.000
0.000 0.000 4.080
Li Sc B
2 4 20
Direct
0.000 0.000 0.000 Li
0.500 0.500 0.000 Li
0.111 0.347 0.500 Sc
0.389 0.847 0.500 Sc
0.611 0.153 0.500 Sc
0.889 0.653 0.500 Sc
0.104 0.203 0.000 B
0.111 0.541 0.000 B
0.122 0.718 0.000 B
0.248 0.122 0.300 B
0.248 0.122 0.700 B
0.252 0.622 0.300 B
0.252 0.622 0.700 B
0.378 0.218 0.000 B
0.389 0.041 0.000 B
0.396 0.703 0.000 B
0.604 0.297 0.000 B
0.611 0.959 0.000 B
0.622 0.782 0.000 B
0.748 0.378 0.300 B
0.748 0.378 0.700 B
0.752 0.878 0.300 B
0.752 0.878 0.700 B
0.878 0.282 0.000 B
0.889 0.459 0.000 B
0.896 0.797 0.000 B
```

Values from the calculation:
* crystal system: orthorhombic
* E: -0.2382 hartree per atom
* N(E_F): 2.67 states/eV/f.u.
* E_form: -0.22 eV per atom
* calculated volume: 262.6 Å³/cell
* space-group type: Pbam, No. 55

Computed, not measured: a relaxed structure of LaHo6Tm12 at the PBE level of DFT.

```
LaHo6Tm12
1.0
5.883 3.397 5.017
-5.883 3.397 5.017
0.000 -6.793 5.017
La Ho Tm
1 6 12
Direct
0.000 0.000 0.000 La
0.089 0.681 0.255 Ho
0.255 0.089 0.681 Ho
0.319 0.745 0.911 Ho
0.681 0.255 0.089 Ho
0.745 0.911 0.319 Ho
0.911 0.319 0.745 Ho
0.006 0.218 0.353 Tm
0.218 0.353 0.006 Tm
0.230 0.453 0.564 Tm
0.353 0.006 0.218 Tm
0.436 0.770 0.547 Tm
0.453 0.564 0.230 Tm
0.547 0.436 0.770 Tm
0.564 0.230 0.453 Tm
0.647 0.994 0.782 Tm
0.770 0.547 0.436 Tm
0.782 0.647 0.994 Tm
0.994 0.782 0.647 Tm
```

Values from the calculation:
* crystal system: trigonal
* energy relative to the lowest polymorph listed for this composition: 0.000 eV/atom
* E: -0.1604 hartree per atom
* N(E_F): 30.32 states/eV/f.u.
* E_form: 0.16 eV per atom
* calculated volume: 601.5 Å³/cell
* space-group type: R-3, No. 148

Computed, not measured: a relaxed structure of SrLa2Tl2 at the PBE level of DFT.

```
SrLa2Tl2
1.0
3.971 0.000 0.000
0.000 5.720 0.000
-1.984 0.000 15.065
Sr La Tl
2 4 4
Direct
0.144 0.250 0.288 Sr
0.856 0.750 0.712 Sr
0.052 0.750 0.100 La
0.235 0.750 0.469 La
0.765 0.250 0.531 La
0.948 0.250 0.900 La
0.356 0.250 0.712 Tl
0.454 0.750 0.909 Tl
0.546 0.250 0.091 Tl
0.644 0.750 0.288 Tl
```

Values from the calculation:
* crystal system: monoclinic
* energy relative to the lowest polymorph listed for this composition: 0.003 eV/atom
* E: -0.1314 hartree per atom
* N(E_F): 5.04 states/eV/f.u.
* E_form: -0.32 eV per atom
* calculated volume: 342.2 Å³/cell
* space-group type: P2_1/m, No. 11

Computed, not measured: a relaxed structure of Tl3Tc2 at the PBE level of DFT.

```
Tl3Tc2
1.0
1.582 0.914 11.964
-1.582 0.914 11.964
0.000 -1.827 11.964
Tl Tc
3 2
Direct
0.000 0.000 0.000 Tl
0.208 0.208 0.208 Tl
0.792 0.792 0.792 Tl
0.395 0.395 0.395 Tc
0.605 0.605 0.605 Tc
```

Values from the calculation:
* crystal system: trigonal
* energy relative to the lowest polymorph listed for this composition: 0.119 eV/atom
* E: -0.1756 hartree per atom
* N(E_F): 4.15 states/eV/f.u.
* E_form: 0.79 eV per atom
* calculated volume: 103.8 Å³/cell
* space-group type: R-3m, No. 166

Computed, not measured: a relaxed structure of TlAsPtSe2 at the PBE level of DFT.

```
TlAsPtSe2
1.0
5.259 0.000 0.000
0.000 5.259 0.000
0.000 0.000 5.299
Tl As Pt Se
1 1 1 2
Direct
0.000 0.000 0.000 Tl
0.000 0.000 0.500 As
0.500 0.500 0.500 Pt
0.000 0.500 0.000 Se
0.500 0.000 0.000 Se
```

Values from the calculation:
* crystal system: tetragonal
* energy relative to the lowest polymorph listed for this composition: 1.211 eV/atom
* energy relative to the elements, uncorrected: 1.41 eV/atom
* E: -0.0952 hartree per atom
* N(E_F): 8.60 states/eV/f.u.
* calculated volume: 146.6 Å³/cell
* space-group type: P4/mmm, No. 123

Computed, not measured: a relaxed structure of Cs2MgCdI6 at the PBE level of DFT.

```
Cs2MgCdI6
1.0
4.223 2.438 14.199
-4.223 2.438 14.199
0.000 -4.877 14.199
Cs Mg Cd I
4 2 2 12
Direct
0.120 0.120 0.120 Cs
0.295 0.295 0.295 Cs
0.705 0.705 0.705 Cs
0.880 0.880 0.880 Cs
0.000 0.000 0.000 Mg
0.500 0.500 0.500 Mg
0.416 0.416 0.416 Cd
0.584 0.584 0.584 Cd
0.134 0.621 0.621 I
0.205 0.205 0.712 I
0.205 0.712 0.205 I
0.288 0.795 0.795 I
0.379 0.379 0.866 I
0.379 0.866 0.379 I
0.621 0.134 0.621 I
0.621 0.621 0.134 I
0.712 0.205 0.205 I
0.795 0.288 0.795 I
0.795 0.795 0.288 I
0.866 0.379 0.379 I
```

Values from the calculation:
* crystal system: trigonal
* energy relative to the lowest polymorph listed for this composition: 0.000 eV/atom
* energy relative to the elements, uncorrected: -1.09 eV/atom
* E: -0.0898 hartree per atom
* calculated volume: 877.3 Å³/cell
* space-group type: R-3m, No. 166

Computed, not measured: a relaxed structure of RbAlRhF2 at the PBE level of DFT.

```
RbAlRhF2
1.0
3.833 0.000 0.000
0.000 3.833 0.000
0.000 0.000 7.844
Rb Al Rh F
1 1 1 2
Direct
0.000 0.000 0.000 Rb
0.000 0.000 0.500 Al
0.500 0.500 0.000 Rh
0.000 0.500 0.500 F
0.500 0.000 0.500 F
```

Values from the calculation:
* crystal system: tetragonal
* energy relative to the elements, uncorrected: -0.66 eV/atom
* E: -0.1402 hartree per atom
* N(E_F): 2.52 states/eV/f.u.
* calculated volume: 115.2 Å³/cell
* space-group type: P4/mmm, No. 123

Computed, not measured: a relaxed structure of ZnNi2H at the PBE level of DFT.

```
ZnNi2H
1.0
-2.728 2.728 2.645
2.728 -2.728 2.645
2.728 2.728 -2.645
Zn Ni H
2 4 2
Direct
0.000 0.000 0.000 Zn
0.750 0.250 0.500 Zn
0.238 0.125 0.613 Ni
0.375 0.762 0.887 Ni
0.512 0.625 0.387 Ni
0.875 0.488 0.113 Ni
0.250 0.750 0.500 H
0.500 0.500 0.000 H
```

Values from the calculation:
* crystal system: tetragonal
* energy relative to the lowest polymorph listed for this composition: 0.092 eV/atom
* E: -0.1499 hartree per atom
* N(E_F): 3.53 states/eV/f.u.
* calculated volume: 78.7 Å³/cell
* space-group type: I-42d, No. 122